[1]
Below is a PBEsol-optimized structure of MgV3P4O14, with properties calculated at the meta-GGA SCAN level.

**Volume**: 476 Å³ per cell
**Calculated density**: 3.66 g/cm³
**ΔE_f (raw)**: -2522 meV/atom

a b c (Å): 7.2262 7.4823 9.5101
angles (deg): 90.00 112.10 90.00
Last column: nearest neighbours and their distance in Å.
Space group P2_1/c (No. 14)
Asymmetric unit:
Mg1 0.0000 0.0000 0.0000  6 O 2.19-2.44
V1 0.3131 0.1314 0.4818  6 O 2.07-2.21
V2 0.5000 0.0000 0.0000  6 O 2.09-2.18
P1 0.0854 0.0841 0.7027  4 O 1.51-1.61
P2 0.3629 0.7053 0.1832  4 O 1.53-1.60
O1 0.1199 0.2266 0.6000  1 P 1.53
O2 0.1263 0.5431 0.8143  1 P 1.51
O3 0.1593 0.6047 0.1620  2 P 1.60-1.61
O4 0.2131 0.1169 0.8746  1 P 1.57
O5 0.2980 0.6188 0.5960  1 P 1.53
O6 0.4714 0.5836 0.1099  1 P 1.53
O7 0.4738 0.7162 0.3550  1 P 1.53

[2]
Below is a PBEsol-optimized structure of MgVP4O12, with properties calculated at the meta-GGA SCAN level.

**Volume**: 864 Å³ per cell
**Calculated density**: 3.01 g/cm³
**ΔE_f (raw)**: -2554 meV/atom

a b c (Å): 11.7930 8.2784 10.1038
angles (deg): 90.00 118.88 90.00
Last column: nearest neighbours and their distance in Å.
Space group C2/c (No. 15)
Asymmetric unit:
Mg1 0.0000 0.0521 0.2500  6 O 2.00-2.14
V1 0.2500 0.2500 0.5000  6 O 2.05-2.12
P1 0.0087 0.2607 0.9774  4 O 1.47-1.61
P2 0.1972 0.4889 0.1941  4 O 1.48-1.61
O1 0.0273 0.1192 0.9015  1 P 1.47
O2 0.0467 0.2388 0.4155  1 P 1.52
O3 0.0758 0.3941 0.6473  2 P 1.60-1.61
O4 0.1453 0.3515 0.0657  2 P 1.60-1.61
O5 0.1995 0.0795 0.3245  1 P 1.52
O6 0.2334 0.4213 0.3446  1 P 1.48

[3]
Below is a PBEsol-optimized structure of MgV2P2O10, with properties calculated at the meta-GGA SCAN level.

**Volume**: 1259 Å³ per cell
**Calculated density**: 3.67 g/cm³
**ΔE_f (raw)**: -2621 meV/atom

a b c (Å): 11.2268 15.7290 7.1305
angles (deg): 90.00 90.00 90.00
Last column: nearest neighbours and their distance in Å.
Space group Fdd2 (No. 43)
Asymmetric unit:
Mg1 0.0000 0.0000 0.0000  6 O 2.20-2.35
V1 0.1095 0.1154 0.6342  1 O 1.66
P1 0.0062 0.2927 0.5172  4 O 1.53-1.57
O1 0.0081 0.1368 0.8682  1 P 1.54
O2 0.0101 0.4176 0.0193  1 V 1.66
O3 0.0204 0.3393 0.7041  1 P 1.53
O4 0.1100 0.2620 0.0362  1 P 1.57
O5 0.1135 0.2336 0.4761  1 P 1.55

[4]
Below is a PBEsol-optimized structure of Mg3V4P6O24, with properties calculated at the meta-GGA SCAN level.

**Volume**: 406 Å³ per cell
**Calculated density**: 3.46 g/cm³
**ΔE_f (raw)**: -2722 meV/atom

a b c (Å): 6.3305 7.9227 9.2493
angles (deg): 105.17 107.52 101.96
Last column: nearest neighbours and their distance in Å.
Space group P-1 (No. 2)
Asymmetric unit:
Mg1 0.0000 0.0000 0.0000  4 O 1.99-2.16
Mg2 0.2842 0.8081 0.2893  5 O 2.01-2.07
V1 0.0439 0.7125 0.5213  6 O 1.89-2.07
V2 0.3930 0.4613 0.1088  6 O 1.90-2.09
P1 0.0846 0.5945 0.8335  4 O 1.49-1.57
P2 0.2217 0.1451 0.7661  4 O 1.51-1.56
P3 0.3963 0.2328 0.3657  4 O 1.53-1.57
O1 0.0120 0.1894 0.6604  1 P 1.56
O2 0.0620 0.5438 0.6521  1 P 1.57
O3 0.1093 0.7908 0.9137  1 P 1.49
O4 0.1292 0.5369 0.1603  1 P 1.55
O5 0.1990 0.9436 0.6967  1 P 1.51
O6 0.2223 0.1955 0.9408  1 P 1.56
O7 0.2451 0.2834 0.4618  1 P 1.53
O8 0.2733 0.0377 0.2371  1 P 1.55
O9 0.3042 0.5421 0.9168  1 P 1.57
O10 0.3706 0.7620 0.5073  1 P 1.57
O11 0.4513 0.3701 0.2822  1 P 1.53
O12 0.4537 0.2625 0.7686  1 P 1.56

[5]
Below is a PBEsol-optimized structure of MgZr4P6O24, with properties calculated at the meta-GGA SCAN level.

**Volume**: 997 Å³ per cell
**Calculated density**: 3.19 g/cm³
**ΔE_f (raw)**: -3034 meV/atom

a b c (Å): 8.9151 8.9519 15.2985
angles (deg): 90.00 125.23 90.00
Last column: nearest neighbours and their distance in Å.
Space group Pc (No. 7)
Asymmetric unit:
Mg1 0.0000 0.0425 0.0000  4 O 2.00-2.07
Zr1 0.0973 0.3045 0.5521  5 O 1.99-2.18
Zr2 0.3194 0.2665 0.2866  6 O 2.04-2.20
Zr3 0.5827 0.2218 0.0495  6 O 2.01-2.09
Zr4 0.8111 0.2258 0.7722  6 O 2.01-2.21
P1 0.2043 0.3697 0.8098  4 O 1.53-1.54
P2 0.4144 0.0020 0.6588  4 O 1.52-1.57
P3 0.4936 0.4984 0.1754  4 O 1.52-1.55
P4 0.7094 0.1308 0.5187  4 O 1.53-1.56
P5 0.9237 0.3348 0.0265  4 O 1.52-1.57
P6 0.9822 0.1395 0.3153  4 O 1.52-1.58
O1 0.0113 0.2531 0.3995  1 P 1.54
O2 0.0484 0.3323 0.8219  1 P 1.54
O3 0.0880 0.2422 0.1177  1 P 1.56
O4 0.1484 0.3167 0.6989  1 P 1.54
O5 0.1516 0.1414 0.3120  1 P 1.54
O6 0.2238 0.0835 0.5924  1 P 1.57
O7 0.2321 0.4594 0.3171  1 P 1.54
O8 0.3419 0.3868 0.6022  1 P 1.55
O9 0.3786 0.2872 0.8971  1 P 1.53
O10 0.4160 0.0967 0.2409  1 P 1.53
O11 0.4228 0.0894 0.0769  1 P 1.53
O12 0.4432 0.4133 0.2416  1 P 1.53
O13 0.5123 0.3933 0.1039  1 P 1.52
O14 0.5525 0.2333 0.4368  1 P 1.53
O15 0.5705 0.1149 0.7166  1 P 1.52
O16 0.6524 0.0338 0.9994  1 P 1.53
O17 0.6767 0.4183 0.7480  1 P 1.54
O18 0.7678 0.3478 0.0394  1 P 1.52
O19 0.7735 0.1814 0.6314  1 P 1.54
O20 0.8063 0.1712 0.2056  1 P 1.52
O21 0.8662 0.2338 0.9282  1 P 1.57
O22 0.8757 0.1421 0.5102  1 P 1.56
O23 0.9629 0.0181 0.8543  1 P 1.58
O24 0.9788 0.4907 0.0135  1 P 1.53

[6]
Below is a PBEsol-optimized structure of Mg2PbO, with properties calculated at the meta-GGA SCAN level.

**Volume**: 320 Å³ per cell
**Calculated density**: 5.64 g/cm³
**ΔE_f (raw)**: -1346 meV/atom

a b c (Å): 6.1592 6.1592 8.4381
angles (deg): 90.00 90.00 90.00
Last column: nearest neighbours and their distance in Å.
Space group I-42d (No. 122)
Asymmetric unit:
Mg1 0.1002 0.2500 0.1250  2 O 1.97
Pb1 0.0000 0.0000 0.5000  4 Mg 3.09
O1 0.0000 0.0000 0.0000  4 Mg 1.97

[7]
Below is a PBEsol-optimized structure of MgTcPb2O, with properties calculated at the meta-GGA SCAN level.

**Volume**: 91 Å³ per cell
**Calculated density**: 10.14 g/cm³
**ΔE_f (raw)**: -182 meV/atom

a b c (Å): 4.9606 4.9606 3.6779
angles (deg): 90.00 90.00 90.00
Last column: nearest neighbours and their distance in Å.
Space group P4/mmm (No. 123)
Asymmetric unit:
Mg1 0.0000 0.0000 0.0000  2 O 1.84
Tc1 0.5000 0.5000 0.0000  8 Pb 3.09
Pb1 0.0000 0.5000 0.5000  2 O 2.48
O1 0.0000 0.0000 0.5000  2 Mg 1.84

[8]
Below is a PBEsol-optimized structure of MgTi3Pb5WO15, with properties calculated at the meta-GGA SCAN level.

**Volume**: 615 Å³ per cell
**Calculated density**: 8.79 g/cm³
**ΔE_f (raw)**: -2298 meV/atom

a b c (Å): 5.5752 5.5752 19.7762
angles (deg): 90.00 90.00 90.00
Last column: nearest neighbours and their distance in Å.
Space group P4/nmm (No. 129, origin choice 2)
Asymmetric unit:
Mg1 0.2500 0.2500 0.1018  6 O 2.03-2.08
Ti1 0.2500 0.2500 0.2977  5 O 1.83-1.98
Ti2 0.2500 0.2500 0.4971  6 O 1.89-2.02
Ti3 0.2500 0.2500 0.6952  6 O 1.89-2.06
Pb1 0.2500 0.7500 0.0000  12 O 2.79-2.80
Pb2 0.2500 0.7500 0.2043  12 O 2.75-2.84
Pb3 0.2500 0.7500 0.4014  12 O 2.77-2.79
W1 0.2500 0.2500 0.9000  6 O 1.91-1.99
O1 0.0000 0.0000 0.5000  2 Ti 1.97
O2 0.0013 0.0013 0.6986  2 Ti 1.96-1.98
O3 0.0079 0.0079 0.8992  1 W 1.91, 1 Mg 2.03
O4 0.2500 0.2500 0.2051  1 Ti 1.83, 1 Mg 2.04
O5 0.2500 0.2500 0.4015  2 Ti 1.89-2.05
O6 0.2500 0.2500 0.5994  2 Ti 1.89-2.02
O7 0.2500 0.2500 0.7996  1 W 1.99, 1 Ti 2.06
O8 0.2500 0.2500 0.9968  1 W 1.91, 1 Mg 2.08

[9]
Below is a PBEsol-optimized structure of MgTi2Pb4WO12, with properties calculated at the meta-GGA SCAN level.

**Volume**: 495 Å³ per cell
**Calculated density**: 8.89 g/cm³
**ΔE_f (raw)**: -2251 meV/atom

a b c (Å): 5.5838 5.5838 15.8694
angles (deg): 90.00 90.00 90.00
Last column: nearest neighbours and their distance in Å.
Space group I4/mmm (No. 139)
Asymmetric unit:
Mg1 0.0000 0.0000 0.0000  6 O 2.04-2.05
Ti1 0.0000 0.0000 0.2437  5 O 1.82-1.98
Pb1 0.0000 0.5000 0.1273  12 O 2.77-2.83
W1 0.0000 0.0000 0.5000  6 O 1.91-1.95
O1 0.0000 0.0000 0.1290  1 Ti 1.82
O2 0.0000 0.0000 0.3768  1 W 1.95, 1 Ti 2.11
O3 0.2415 0.2415 0.5000  1 W 1.91, 1 Mg 2.04
O4 0.2500 0.2500 0.2500  2 Ti 1.98

[10]
Below is a PBEsol-optimized structure of MgPd3O, with properties calculated at the meta-GGA SCAN level.

**Volume**: 72 Å³ per cell
**Calculated density**: 8.29 g/cm³
**ΔE_f (raw)**: -354 meV/atom

a b c (Å): 4.1609 4.1609 4.1609
angles (deg): 90.00 90.00 90.00
Last column: nearest neighbours and their distance in Å.
Space group Pm-3m (No. 221)
Asymmetric unit:
Mg1 0.0000 0.0000 0.0000  12 Pd 2.94
Pd1 0.0000 0.5000 0.5000  2 O 2.08
O1 0.5000 0.5000 0.5000  6 Pd 2.08

[11]
Below is a PBEsol-optimized structure of Pr2MgPtO6, with properties calculated at the meta-GGA SCAN level.

**Volume**: 244 Å³ per cell
**Calculated density**: 8.14 g/cm³
**ΔE_f (raw)**: -2756 meV/atom

a b c (Å): 5.4740 5.6855 9.5432
angles (deg): 90.00 124.84 90.00
Last column: nearest neighbours and their distance in Å.
Space group P2_1/c (No. 14)
Asymmetric unit:
Pr1 0.2352 0.0580 0.2504  6 O 2.37-2.59
Mg1 0.5000 0.0000 0.0000  6 O 2.04-2.06
Pt1 0.0000 0.0000 0.5000  6 O 2.01-2.02
O1 0.1498 0.2076 0.9510  1 Pt 2.02, 1 Mg 2.06
O2 0.2469 0.7033 0.9518  1 Pt 2.02, 1 Mg 2.06
O3 0.3395 0.0251 0.7481  1 Pt 2.01, 1 Mg 2.04

[12]
Below is a PBEsol-optimized structure of Rb2MgO2, with properties calculated at the meta-GGA SCAN level.

**Volume**: 374 Å³ per cell
**Calculated density**: 4.03 g/cm³
**ΔE_f (raw)**: -1860 meV/atom

a b c (Å): 6.2554 10.8685 5.5073
angles (deg): 90.00 90.00 90.00
Last column: nearest neighbours and their distance in Å.
Space group Ibam (No. 72)
Asymmetric unit:
Rb1 0.1371 0.1549 0.0000  5 O 2.77-3.08
Mg1 0.0000 0.5000 0.2500  4 O 2.01
O1 0.1727 0.4085 0.0000  2 Mg 2.01

| no. | total moment (μB per formula unit) |
| --- | --- |
| 1 | 9.0 |
| 2 | 3.0 |
| 3 | 2.0 |
| 4 | 8.0 |
| 5 | 0.0 |
| 6 | 0.0 |
| 7 | 0.0 |
| 8 | 0.0 |
| 9 | 0.0 |
| 10 | 0.0 |
| 11 | 0.0 |
| 12 | 0.0 |